Density functional theory data (PBE-GGA) for an optimized crystal structure of Tc4Ru.

abc: 4.4558 4.8624 8.6801
angles: 90.00 120.57 90.00
Last column: nearest neighbours and their distance in Å.
Element x y z (fractional)
Tc 0.0529 0.1760 0.1324  6 Tc 2.52-2.71, 1 Ru 2.64
Tc 0.0529 0.3240 0.6324  6 Tc 2.52-2.71, 1 Ru 2.64
Tc 0.2802 0.6897 0.2050  5 Tc 2.52-2.65, 2 Ru 2.60-2.69
Tc 0.2802 0.8103 0.7050  5 Tc 2.52-2.65, 2 Ru 2.60-2.69
Tc 0.7198 0.1897 0.2950  5 Tc 2.52-2.65, 2 Ru 2.60-2.69
Tc 0.7198 0.3103 0.7950  5 Tc 2.52-2.65, 2 Ru 2.60-2.69
Tc 0.9471 0.6760 0.3676  6 Tc 2.52-2.71, 1 Ru 2.64
Tc 0.9471 0.8240 0.8676  6 Tc 2.52-2.71, 1 Ru 2.64
Ru 0.5000 0.0000 0.5000  8 Tc 2.60-2.90
Ru 0.5000 0.5000 0.0000  8 Tc 2.60-2.90

**Energy of formation from the pure elements**: 0.510 eV/atom
**Magnetic moment**: 0.000 μB/atom
**E above lowest polymorph**: 449 meV per atom
**Final energy**: -9.638 eV per atom

Density functional theory data (PBE-GGA) for an optimized crystal structure of TcRu3.

abc: 2.7123 2.7123 7.6608
angles: 90.00 90.00 90.00
Last column: nearest neighbours and their distance in Å.
Element x y z (fractional)
Tc 0.0000 0.0000 0.0000  4 Tc 2.71, 8 Ru 2.72
Ru 0.0000 0.0000 0.5000  12 Ru 2.70-2.71
Ru 0.5000 0.5000 0.2517  8 Ru 2.70-2.71, 4 Tc 2.72
Ru 0.5000 0.5000 0.7483  8 Ru 2.70-2.71, 4 Tc 2.72

**Energy of formation from the pure elements**: 0.076 eV/atom
**Magnetic moment**: 0.000 μB/atom
**Final energy**: -9.472 eV per atom